# DyY2Th3Bi6

A geometry-optimized DyY2Th3Bi6 structure (PBE-GGA, Alexandria).

Structure (POSCAR):
```
DyY2Th3Bi6
1.0
4.5481 0.0000 0.0000
0.0000 9.0450 0.3380
-2.2740 -2.5846 9.5457
Th Dy Bi Y
3 1 6 2
Direct
0.1668 0.8329 0.3336
0.8332 0.1671 0.6664
0.5000 0.5000 0.0000
0.5000 0.0000 0.0000
0.6687 0.5779 0.3374
0.3313 0.4221 0.6626
0.0019 0.2445 0.0037
0.3355 0.9122 0.6711
0.9981 0.7555 0.9963
0.6645 0.0878 0.3289
0.1665 0.3328 0.3331
0.8335 0.6672 0.6669
```

Values from the calculation:
VASP energy   -71.8 eV/cell
ΔH_f (0 K)   -0.72 eV per atom
Magnetization   0.000 μB/atom
Theoretical density   9.59 Mg/m³